1.
5
Lattice="5.609 0.000 0.000 0.000 5.609 0.000 0.000 0.000 5.757" Properties=species:S:1:pos:R:3 comment="ZrZnSb2I PBE-GGA relaxed" rho_g_cm3=4.83 raw_formation_energy_ev_per_atom=0.21 sg=P4/mmm pbc="T T T"
Zr 0.000 0.000 0.000
Zn 2.805 2.805 2.879
Sb 0.000 2.805 0.000
Sb 2.805 0.000 0.000
I 0.000 0.000 2.879



2.
14
Lattice="2.668 -5.721 0.000 2.668 5.721 0.000 0.000 0.000 15.563" Properties=species:S:1:pos:R:3 comment="Pm4DyY2 PBE-GGA relaxed" rho_g_cm3=6.43 final_energy_ev_per_atom=-5.064 sg=Cmce pbc="T T T"
Pm 2.668 4.558 12.549
Pm 2.668 3.353 8.873
Pm 2.668 2.368 1.092
Pm 2.668 1.163 4.768
Pm 2.668 -1.163 10.795
Pm 2.668 -2.368 14.471
Pm 2.668 -3.353 6.690
Pm 2.668 -4.558 3.013
Dy 0.000 0.000 0.000
Dy 2.668 0.000 7.781
Y 2.668 4.522 5.335
Y 2.668 1.199 13.117
Y 2.668 -1.199 2.446
Y 2.668 -4.522 10.227



3.
16
Lattice="4.288 2.475 7.336 -4.288 2.475 7.336 0.000 -4.951 7.336" Properties=species:S:1:pos:R:3 comment="Pr8Ga3SBr4 PBE-GGA relaxed" rho_g_cm3=6.00 raw_formation_energy_ev_per_atom=-1.10 sg=R-3m pbc="T T T"
Pr 0.000 0.000 5.319
Pr -2.111 -1.219 12.594
Pr 0.000 -2.437 9.414
Pr -2.111 1.219 9.414
Pr 2.111 -1.219 12.594
Pr 0.000 2.437 12.594
Pr 2.111 1.219 9.414
Pr 0.000 0.000 16.688
Ga -4.288 0.000 11.004
Ga -2.144 1.238 3.668
Ga 2.144 1.238 3.668
S 0.000 0.000 11.004
Br 0.000 0.000 0.000
Br -2.144 -1.238 7.336
Br -2.144 1.238 14.672
Br 0.000 2.475 7.336



4.
4
Lattice="2.674 0.000 0.000 0.000 2.674 0.000 0.000 0.000 5.862" Properties=species:S:1:pos:R:3 comment="MnBe2Zn PBE-GGA relaxed" rho_g_cm3=5.48 final_energy_ev_per_atom=-4.446 sg=P4/mmm pbc="T T T"
Mn 0.000 0.000 0.000
Be 1.337 1.337 1.358
Be 1.337 1.337 4.504
Zn 0.000 0.000 2.931



5.
10
Lattice="7.856 0.000 0.000 0.000 7.856 0.000 0.000 0.000 3.116" Properties=species:S:1:pos:R:3 comment="BaSi2Rh2 PBE-GGA relaxed" rho_g_cm3=6.90 raw_formation_energy_ev_per_atom=-0.25 sg=P4/mbm pbc="T T T"
Ba 0.000 0.000 0.000
Ba 3.928 3.928 0.000
Si 0.958 2.969 1.558
Si 2.969 6.897 1.558
Si 4.886 0.958 1.558
Si 6.897 4.886 1.558
Rh 0.991 4.918 0.000
Rh 2.937 0.991 0.000
Rh 4.918 6.865 0.000
Rh 6.865 2.937 0.000



6.
5
Lattice="4.016 0.000 0.000 0.000 4.016 0.000 0.000 0.000 5.271" Properties=species:S:1:pos:R:3 comment="YVTeN2 PBE-GGA relaxed" rho_g_cm3=5.77 raw_formation_energy_ev_per_atom=-0.10 sg=P4/mmm pbc="T T T"
Y 0.000 0.000 0.000
V 2.008 2.008 2.635
Te 2.008 2.008 0.000
N 0.000 2.008 2.635
N 2.008 0.000 2.635



7.
8
Lattice="-3.109 3.109 4.335 3.109 -3.109 4.335 3.109 3.109 -4.335" Properties=species:S:1:pos:R:3 comment="Cs2GeH5 PBE-GGA relaxed" rho_g_cm3=3.40 final_energy_ev_per_atom=-2.897 sg=I4mm pbc="T T T"
Cs 3.109 0.000 0.000
Cs 0.000 3.109 0.000
Ge 0.000 0.000 2.134
H 1.867 1.867 -2.252
H 1.242 -1.242 2.083
H 0.000 0.000 3.735
H -1.242 1.242 2.083
H 1.242 1.242 2.083



8.
5
Lattice="5.535 0.000 0.000 0.000 5.535 0.000 0.000 0.000 6.463" Properties=species:S:1:pos:R:3 comment="KSrLa2Ru PBE-GGA relaxed" rho_g_cm3=4.24 final_energy_ev_per_atom=-4.380 sg=P4/mmm pbc="T T T"
K 0.000 0.000 0.000
Sr 2.767 2.767 0.000
La 0.000 2.767 3.232
La 2.767 0.000 3.232
Ru 2.767 2.767 3.232